Material: Gd3YH
Method: DFT, PBE
State: relaxed

```
5
Lattice="5.037 0.000 0.000 0.000 5.037 0.000 0.000 0.000 5.037" Properties=species:S:1:pos:R:3 pbc="T T T"
Gd 0.000 0.000 2.518
Gd 0.000 2.518 0.000
Gd 2.518 0.000 0.000
Y 2.518 2.518 2.518
H 0.000 0.000 0.000
```

Properties
As for the total magnetization: 21.6 μB/f.u. The calculation puts the total energy at -52.841 eV per cell.